(1)
An optimized crystal structure of LaTm2, computed with PBE.

The structure belongs to space group Fd-3m (No. 227, origin choice 2); the cell edges are 9.473, 9.473 and 9.473 Å and the angles 90.00°, 90.00° and 90.00°. The inequivalent atoms are La at (0.125, 0.125, 0.125) and Tm at (0.000, 0.000, 0.500).

For the offset from the most stable computed form, the calculation gives 0.2273 eV per atom. The total DFT energy (no corrections) is -4.3584 eV per atom. As for the density of states at the Fermi level: 41.6 states/eV per cell.

=====

(2)
An optimized crystal structure of La5Tm3, computed with PBE.

The structure belongs to space group Pmmm (No. 47); the cell edges are 5.071, 5.185 and 10.397 Å and the angles 90.00°, 90.00° and 90.00°. The inequivalent atoms are La at (0.000, 0.000, 0.000), La at (0.000, 0.000, 0.500), La at (0.000, 0.500, 0.246), La at (0.500, 0.500, 0.500), Tm at (0.500, 0.000, 0.246) and Tm at (0.500, 0.500, 0.000).

For the offset from the most stable computed form, the calculation gives 0.0000 eV per atom. The total DFT energy (no corrections) is -4.7342 eV per atom. As for the density of states at the Fermi level: 12.1 states/eV per cell.